Below is an optimized crystal structure of ReNi2HRh, with properties calculated at the GGA-PBE level.

Lattice parameters (Å, degrees): 3.753 3.753 3.797 90.00 90.00 90.00
Positions (direct):
Re: 0.000 0.000 0.000
Ni: 0.000 0.500 0.500
Ni: 0.500 0.000 0.500
H: 0.000 0.000 0.500
Rh: 0.500 0.500 0.000

## Properties
D(E_F) = 5.9 states/eV/f.u.
Magnetic moment = 0.0 μB/f.u.
E_tot = -33.96 eV/cell

***

Below is an optimized crystal structure of ReNiHRh2, with properties calculated at the GGA-PBE level.

Lattice parameters (Å, degrees): 3.848 3.848 3.884 90.00 90.00 90.00
Positions (direct):
Re: 0.000 0.000 0.000
Ni: 0.500 0.500 0.000
H: 0.000 0.000 0.500
Rh: 0.000 0.500 0.500
Rh: 0.500 0.000 0.500

## Properties
D(E_F) = 7.1 states/eV/f.u.
Magnetic moment = 0.9 μB/f.u.
E_tot = -35.40 eV/cell
ΔE to the lowest computed polymorph = 0.042 eV/atom

***

Below is an optimized crystal structure of ReNi2HRu, with properties calculated at the GGA-PBE level.

Lattice parameters (Å, degrees): 3.717 3.717 3.830 90.00 90.00 90.00
Positions (direct):
Re: 0.000 0.000 0.000
Ni: 0.000 0.500 0.500
Ni: 0.500 0.000 0.500
H: 0.500 0.500 0.500
Ru: 0.500 0.500 0.000

## Properties
D(E_F) = 5.2 states/eV/f.u.
Magnetic moment = 0.0 μB/f.u.
E_tot = -35.84 eV/cell
ΔE to the lowest computed polymorph = 0.007 eV/atom